A geometry-optimized CdCu3 structure, computed with PBE-GGA.

```
8
Lattice="4.393 0.000 0.000 0.000 5.474 0.000 0.000 0.000 4.696" Properties=species:S:1:pos:R:3 pbc="T T T"
Cd 1.098 1.369 0.739
Cd 3.295 4.106 3.956
Cu 1.098 0.011 3.100
Cu 1.098 2.726 3.100
Cu 1.098 4.106 0.955
Cu 3.295 1.369 3.741
Cu 3.295 2.748 1.595
Cu 3.295 5.463 1.595
```

Summary:
* space group: Pmmn (59)
* spin magnetization: 0.00 μB/cell
* calculated formation energy: 0.06 eV/atom
* calculated total energy: -3.24 eV per atom

A geometry-optimized Cs12Hg5F3 structure, computed with PBE-GGA.

```
80
Lattice="-10.680 10.680 10.680 10.680 -10.680 10.680 10.680 10.680 -10.680" Properties=species:S:1:pos:R:3 pbc="T T T"
Cs 10.172 -2.247 3.078
Cs 16.527 -2.262 3.092
Cs 3.078 -0.507 2.247
Cs 12.941 7.587 -5.847
Cs 2.247 3.078 -0.507
Cs 13.772 4.832 -2.262
Cs 13.757 0.507 2.247
Cs 12.941 -3.092 5.847
Cs 7.587 5.847 -2.262
Cs 8.432 3.078 0.507
Cs -0.507 2.247 3.078
Cs 5.847 -2.262 7.587
Cs 10.172 8.432 -3.078
Cs 5.847 2.262 3.092
Cs 8.432 -3.078 10.172
Cs 7.587 -5.847 12.941
Cs 3.078 10.172 -2.247
Cs 12.941 3.092 4.832
Cs 3.092 5.847 2.262
Cs 12.927 7.602 0.507
Cs 2.262 3.092 5.847
Cs 3.078 0.507 8.432
Cs 5.847 12.941 -3.092
Cs 10.172 2.247 7.602
Cs 0.507 8.432 3.078
Cs 4.832 -2.262 13.772
Cs 7.602 10.172 2.247
Cs 8.418 7.587 4.832
Cs -2.247 3.078 10.172
Cs 7.587 4.832 8.418
Cs -2.262 7.587 5.847
Cs 7.602 0.507 12.927
Cs 3.092 16.527 -2.262
Cs 2.247 13.757 0.507
Cs 4.832 8.418 7.587
Cs 0.507 2.247 13.757
Cs 4.832 12.941 3.092
Cs 11.187 8.432 7.602
Cs 2.247 7.602 10.172
Cs 3.092 4.832 12.941
Cs -2.262 13.772 4.832
Cs -3.078 10.172 8.432
Cs -3.092 5.847 12.941
Cs 8.432 7.602 11.187
Cs -2.262 3.092 16.527
Cs 7.602 11.187 8.432
Cs -5.847 12.941 7.587
Cs 0.507 12.927 7.602
Hg 0.000 0.000 0.000
Hg 5.340 5.340 -5.340
Hg 5.340 -5.340 5.340
Hg 10.680 0.000 0.000
Hg 16.019 2.670 0.000
Hg 10.680 -5.340 8.010
Hg 8.010 10.680 -5.340
Hg 8.010 0.000 5.340
Hg 5.340 8.010 0.000
Hg 10.680 5.340 2.670
Hg -5.340 5.340 5.340
Hg 0.000 10.680 0.000
Hg 0.000 0.000 10.680
Hg 5.340 5.340 5.340
Hg 0.000 5.340 8.010
Hg 5.340 2.670 10.680
Hg 2.670 10.680 5.340
Hg 2.670 0.000 16.019
Hg 0.000 16.019 2.670
Hg -5.340 8.010 10.680
F 5.340 2.670 0.000
F 10.680 5.340 -2.670
F 2.670 0.000 5.340
F 13.349 0.000 5.340
F 0.000 5.340 2.670
F 5.340 -2.670 10.680
F 5.340 13.349 0.000
F 10.680 5.340 8.010
F -2.670 10.680 5.340
F 8.010 10.680 5.340
F 0.000 5.340 13.349
F 5.340 8.010 10.680
```

Summary:
* space group: Ia-3d (230)
* spin magnetization: 0.08 μB/cell
* formation energy without anion corrections: -0.6557 eV per atom
* calculated total energy: -1.52 eV per atom

A geometry-optimized SrAlSi2Ni structure, computed with PBE-GGA.

```
5
Lattice="-2.060 2.060 5.237 2.060 -2.060 5.237 2.060 2.060 -5.237" Properties=species:S:1:pos:R:3 pbc="T T T"
Sr 0.000 0.000 0.000
Al 0.000 2.060 2.619
Si 0.000 0.000 3.990
Si 0.000 0.000 6.484
Ni 2.060 0.000 2.619
```

Summary:
* space group: I-4m2 (119)
* spin magnetization: 0.00 μB/cell
* formation energy without anion corrections: -0.4599 eV per atom
* calculated total energy: -4.87 eV per atom

A geometry-optimized HfTiAlI2 structure, computed with PBE-GGA.

```
5
Lattice="5.377 0.000 0.000 0.000 5.377 0.000 0.000 0.000 5.168" Properties=species:S:1:pos:R:3 pbc="T T T"
Hf 0.000 0.000 0.000
Ti 2.688 2.688 0.000
Al 2.688 2.688 2.584
I 0.000 2.688 2.584
I 2.688 0.000 2.584
```

Summary:
* space group: P4/mmm (123)
* spin magnetization: 2.89 μB/cell
* formation energy without anion corrections: 1.1655 eV per atom
* calculated total energy: -3.77 eV per atom

A geometry-optimized K3ICl4 structure, computed with PBE-GGA.

```
16
Lattice="6.265 0.000 0.000 0.000 9.823 0.000 0.000 0.000 11.165" Properties=species:S:1:pos:R:3 pbc="T T T"
K 1.566 0.146 2.064
K 1.566 2.456 6.877
K 1.566 4.766 2.064
K 4.698 5.057 9.101
K 4.698 7.367 4.288
K 4.698 9.677 9.101
I 1.566 7.367 9.918
I 4.698 2.456 1.247
Cl 1.566 0.131 9.891
Cl 1.566 2.456 3.933
Cl 1.566 4.780 9.891
Cl 1.566 7.367 3.555
Cl 4.698 2.456 7.610
Cl 4.698 5.043 1.274
Cl 4.698 7.367 7.232
Cl 4.698 9.692 1.274
```

Summary:
* space group: Pmmn (59)
* spin magnetization: 0.14 μB/cell
* formation energy without anion corrections: -1.4317 eV per atom
* calculated total energy: -2.96 eV per atom

A geometry-optimized BeAg2Au structure, computed with PBE-GGA.

```
4
Lattice="-2.029 2.029 3.861 2.029 -2.029 3.861 2.029 2.029 -3.861" Properties=species:S:1:pos:R:3 pbc="T T T"
Be 0.000 0.000 0.000
Ag 2.029 0.000 1.931
Ag 0.000 0.000 3.861
Au 0.000 2.029 1.931
```

Summary:
* space group: I-4m2 (119)
* spin magnetization: 0.00 μB/cell
* calculated formation energy: 0.15 eV/atom
* calculated total energy: -3.03 eV per atom

A geometry-optimized LiPr4Tl2 structure, computed with PBE-GGA.

```
7
Lattice="2.737 1.580 8.544 -2.737 1.580 8.544 0.000 -3.161 8.544" Properties=species:S:1:pos:R:3 pbc="T T T"
Li 0.000 0.000 0.000
Pr 0.000 0.000 3.445
Pr 0.000 0.000 10.018
Pr 0.000 0.000 15.614
Pr 0.000 0.000 22.188
Tl 0.000 0.000 6.739
Tl 0.000 0.000 18.893
```

Summary:
* space group: R-3m (166)
* E above lowest polymorph: 0 meV per atom
* spin magnetization: 0.34 μB/cell
* calculated formation energy: -0.17 eV/atom
* calculated total energy: -3.85 eV per atom

A geometry-optimized FeTcAg2 structure, computed with PBE-GGA.

```
4
Lattice="1.377 0.795 9.493 -1.377 0.795 9.493 0.000 -1.590 9.493" Properties=species:S:1:pos:R:3 pbc="T T T"
Fe 0.000 0.000 0.000
Tc 0.000 0.000 14.239
Ag 0.000 0.000 7.181
Ag 0.000 0.000 21.297
```

Summary:
* space group: R-3m (166)
* E above lowest polymorph: 226 meV per atom
* spin magnetization: 3.48 μB/cell
* calculated formation energy: 0.53 eV/atom
* calculated total energy: -5.61 eV per atom